DFT (PBE with a Hubbard U) results for crystalline FeSnWO6 at its relaxed geometry.

The structure in CIF format:
```
data_FeSnWO6
_chemical_formula_sum 'Fe2 Sn2 W2 O12'
_space_group_name_H-M_alt 'P 1'
_space_group_IT_number 1
_space_group_name_Hall 'P 1'
_cell_length_a 5.197
_cell_length_b 5.197
_cell_length_c 9.099
_cell_angle_alpha 90.00
_cell_angle_beta 90.00
_cell_angle_gamma 120.00
loop_
_atom_site_label
_atom_site_type_symbol
_atom_site_fract_x
_atom_site_fract_y
_atom_site_fract_z
Fe1 Fe 0.333 0.667 0.250
Fe2 Fe 0.667 0.333 0.750
Sn1 Sn 0.000 0.000 0.000
Sn2 Sn 0.000 0.000 0.500
W1 W 0.333 0.667 0.750
W2 W 0.667 0.333 0.250
O1 O 0.029 0.350 0.629
O2 O 0.029 0.679 0.871
O3 O 0.321 0.350 0.871
O4 O 0.321 0.971 0.629
O5 O 0.350 0.029 0.129
O6 O 0.350 0.321 0.371
O7 O 0.650 0.679 0.629
O8 O 0.650 0.971 0.871
O9 O 0.679 0.029 0.371
O10 O 0.679 0.650 0.129
O11 O 0.971 0.321 0.129
O12 O 0.971 0.650 0.371
```

As for the space group: P-31c, No. 163. The calculation puts the energy at -6.8668 eV/atom. The total magnetization is 4.00 μB per formula unit. The density comes out at 7.09 g cm⁻³.

=====

DFT (PBE with a Hubbard U) results for crystalline ZrFeSnO2 at its relaxed geometry.

The structure in CIF format:
```
data_ZrFeSnO2
_chemical_formula_sum 'Zr1 Fe1 Sn1 O2'
_space_group_name_H-M_alt 'P 1'
_space_group_IT_number 1
_space_group_name_Hall 'P 1'
_cell_length_a 3.913
_cell_length_b 3.913
_cell_length_c 7.456
_cell_angle_alpha 90.00
_cell_angle_beta 90.00
_cell_angle_gamma 90.00
loop_
_atom_site_label
_atom_site_type_symbol
_atom_site_fract_x
_atom_site_fract_y
_atom_site_fract_z
Zr1 Zr 0.000 0.000 0.000
Fe1 Fe 0.000 0.000 0.500
Sn1 Sn 0.500 0.500 0.000
O1 O 0.000 0.500 0.500
O2 O 0.500 0.000 0.500
```

As for the space group: P4/mmm, No. 123. The calculation puts the energy at -5.6284 eV/atom. The total magnetization is 5.05 μB per formula unit. The density comes out at 4.33 g cm⁻³.